[1]
The following is a DFT calculation (GGA-PBE) of Tb2TmReO8 after structural relaxation.

Structure (extended XYZ):
```
12
Lattice="3.544 -3.603 0.000 3.544 3.603 0.000 0.000 0.000 6.720" Properties=species:S:1:pos:R:3 pbc="T T T"
Tb 0.000 0.000 1.664
Tb 0.000 0.000 5.056
Tm 3.544 0.000 0.000
Re 3.544 0.000 3.360
O 1.397 0.000 0.000
O 1.649 0.000 3.360
O 3.544 1.295 1.952
O 3.544 1.295 4.767
O 3.544 -1.295 1.952
O 3.544 -1.295 4.767
O 5.439 0.000 3.360
O 5.691 0.000 0.000
```

Calculated density, kg/m3: 7750
Volume, Å³/cell: 172
Raw formation energy, eV/f.u.: -33.5

[2]
The following is a DFT calculation (GGA-PBE) of ZrBi3C after structural relaxation.

Structure (extended XYZ):
```
5
Lattice="4.959 0.000 0.000 0.000 4.959 0.000 0.000 0.000 4.959" Properties=species:S:1:pos:R:3 pbc="T T T"
Zr 0.000 0.000 0.000
Bi 0.000 2.480 2.480
Bi 2.480 0.000 2.480
Bi 2.480 2.480 0.000
C 2.480 2.480 2.480
```

Calculated density, kg/m3: 9940
Formation enthalpy at 0 K, meV per atom: 913
Excess energy over the best structure of this formula in the dataset, kJ/mol of atoms: 0.0
Volume, Å³/cell: 122

[3]
The following is a DFT calculation (GGA-PBE) of Pr4Er3Sc after structural relaxation.

Structure (extended XYZ):
```
8
Lattice="-1.749 5.760 6.505 1.749 -5.760 6.505 1.749 5.760 -6.505" Properties=species:S:1:pos:R:3 pbc="T T T"
Pr 1.749 -2.936 4.790
Pr 0.000 2.823 1.715
Pr 1.749 2.936 4.790
Pr 0.000 8.696 1.715
Er 1.749 0.000 3.074
Er 0.000 0.000 6.505
Er 0.000 5.760 3.431
Sc 0.000 0.000 0.000
```

Calculated density, kg/m3: 7036
Formation enthalpy at 0 K, meV per atom: 129
Excess energy over the best structure of this formula in the dataset, kJ/mol of atoms: 9.3
Volume, Å³/cell: 262

[4]
The following is a DFT calculation (GGA-PBE) of BeSiTc after structural relaxation.

Structure (extended XYZ):
```
3
Lattice="3.826 0.000 0.000 -1.913 3.313 0.000 0.000 0.000 2.764" Properties=species:S:1:pos:R:3 pbc="T T T"
Be 0.000 0.000 0.000
Si 1.913 1.104 0.007
Tc 0.000 2.209 1.384
```

Calculated density, kg/m3: 6404
Excess energy over the best structure of this formula in the dataset, kJ/mol of atoms: 10.8
Volume, Å³/cell: 35
Raw formation energy, eV/f.u.: -0.6

[5]
The following is a DFT calculation (GGA-PBE) of Ta2RePt after structural relaxation.

Structure (extended XYZ):
```
4
Lattice="2.769 0.000 0.000 0.000 2.769 0.000 0.000 0.000 8.716" Properties=species:S:1:pos:R:3 pbc="T T T"
Ta 0.000 0.000 0.000
Ta 1.385 1.385 2.324
Re 1.385 1.385 6.466
Pt 0.000 0.000 4.524
```

Calculated density, kg/m3: 18466
Formation enthalpy at 0 K, meV per atom: -128
Volume, Å³/cell: 67

[6]
The following is a DFT calculation (GGA-PBE) of Pr4SiPt3 after structural relaxation.

Structure (extended XYZ):
```
8
Lattice="4.124 0.000 0.000 0.000 4.379 0.000 0.000 0.000 11.101" Properties=species:S:1:pos:R:3 pbc="T T T"
Pr 0.000 0.000 0.000
Pr 0.000 2.190 3.070
Pr 2.062 0.000 5.514
Pr 2.062 2.190 8.625
Si 0.000 0.000 7.870
Pt 0.000 2.190 6.242
Pt 2.062 0.000 2.487
Pt 2.062 2.190 0.550
```

Calculated density, kg/m3: 9749
Volume, Å³/cell: 200
Raw formation energy, eV/f.u.: -8.0

[7]
The following is a DFT calculation (GGA-PBE) of LiYCd2 after structural relaxation.

Structure (extended XYZ):
```
4
Lattice="3.455 0.000 0.000 0.000 3.455 0.000 0.000 0.000 7.494" Properties=species:S:1:pos:R:3 pbc="T T T"
Li 0.000 0.000 0.000
Y 0.000 0.000 3.747
Cd 1.728 1.728 1.582
Cd 1.728 1.728 5.912
```

Calculated density, kg/m3: 5951
Formation enthalpy at 0 K, meV per atom: -276
Volume, Å³/cell: 89

[8]
The following is a DFT calculation (GGA-PBE) of LaBeRe2 after structural relaxation.

Structure (extended XYZ):
```
4
Lattice="3.674 -2.121 0.000 3.674 2.121 0.000 -2.437 0.000 5.357" Properties=species:S:1:pos:R:3 pbc="T T T"
La 0.000 0.000 0.000
Be 4.911 0.000 2.321
Re 0.013 0.000 3.071
Re 2.462 0.000 2.658
```

Calculated density, kg/m3: 10349
Formation enthalpy at 0 K, meV per atom: 6
Volume, Å³/cell: 83

[9]
The following is a DFT calculation (GGA-PBE) of Sc4Cd after structural relaxation.

Structure (extended XYZ):
```
5
Lattice="5.282 0.000 0.000 0.000 5.282 0.000 0.000 0.000 5.282" Properties=species:S:1:pos:R:3 pbc="T T T"
Sc 0.000 0.000 0.000
Sc 0.000 2.641 2.641
Sc 2.641 0.000 2.641
Sc 2.641 2.641 0.000
Cd 2.641 2.641 2.641
```

Calculated density, kg/m3: 3293
Formation enthalpy at 0 K, meV per atom: 560
Excess energy over the best structure of this formula in the dataset, kJ/mol of atoms: 62.6
Volume, Å³/cell: 147

[10]
The following is a DFT calculation (GGA-PBE) of CeSc2Ru after structural relaxation.

Structure (extended XYZ):
```
16
Lattice="6.926 0.000 0.000 0.000 8.936 0.000 0.000 0.000 6.010" Properties=species:S:1:pos:R:3 pbc="T T T"
Ce 0.314 2.234 0.796
Ce 3.149 6.702 3.801
Ce 3.777 2.234 2.209
Ce 6.612 6.702 5.215
Sc 1.201 0.564 3.968
Sc 1.201 3.904 3.968
Sc 2.262 5.032 0.962
Sc 2.262 8.372 0.962
Sc 4.663 0.564 5.048
Sc 4.663 3.904 5.048
Sc 5.725 5.032 2.043
Sc 5.725 8.372 2.043
Ru 0.935 6.702 2.756
Ru 2.528 2.234 5.761
Ru 4.398 6.702 0.250
Ru 5.991 2.234 3.255
```

Calculated density, kg/m3: 5913
Formation enthalpy at 0 K, meV per atom: -331
Excess energy over the best structure of this formula in the dataset, kJ/mol of atoms: 0.0
Volume, Å³/cell: 372

[11]
The following is a DFT calculation (GGA-PBE) of Ba3CaTl12 after structural relaxation.

Structure (extended XYZ):
```
16
Lattice="5.088 0.000 0.000 0.000 5.088 0.000 0.000 0.000 20.153" Properties=species:S:1:pos:R:3 pbc="T T T"
Ba 0.000 0.000 0.000
Ba 0.000 0.000 5.254
Ba 0.000 0.000 14.899
Ca 0.000 0.000 10.076
Tl 0.000 2.544 2.585
Tl 0.000 2.544 7.800
Tl 0.000 2.544 12.353
Tl 0.000 2.544 17.568
Tl 2.544 0.000 2.585
Tl 2.544 0.000 7.800
Tl 2.544 0.000 12.353
Tl 2.544 0.000 17.568
Tl 2.544 2.544 0.000
Tl 2.544 2.544 4.880
Tl 2.544 2.544 10.076
Tl 2.544 2.544 15.272
```

Calculated density, kg/m3: 9247
Formation enthalpy at 0 K, meV per atom: -246
Volume, Å³/cell: 522

[12]
The following is a DFT calculation (GGA-PBE) of Ac2TiN3 after structural relaxation.

Structure (extended XYZ):
```
24
Lattice="2.907 -5.754 0.000 2.907 5.754 0.000 -0.592 0.000 12.639" Properties=species:S:1:pos:R:3 pbc="T T T"
Ac 1.130 2.299 4.441
Ac 0.809 1.277 11.749
Ac 1.105 -1.277 5.429
Ac 0.834 -2.299 10.761
Ac 4.388 2.299 1.878
Ac 4.118 1.277 7.210
Ac 4.414 -1.277 0.890
Ac 4.092 -2.299 8.198
Ti 1.217 0.047 8.466
Ti 1.512 -0.047 2.147
Ti 3.710 0.047 10.492
Ti 4.006 -0.047 4.173
N 2.759 5.739 3.160
N 0.958 1.085 6.868
N 1.779 1.865 1.691
N 1.254 -1.085 0.548
N 2.463 1.263 9.479
N 1.483 -1.865 8.010
N 3.739 1.865 4.629
N 2.759 -1.263 3.160
N 3.969 1.085 12.091
N 3.443 -1.865 10.948
N 4.264 -1.085 5.771
N 2.463 -5.739 9.479
```

Calculated density, kg/m3: 8544
Excess energy over the best structure of this formula in the dataset, kJ/mol of atoms: 0.0
Volume, Å³/cell: 423
Raw formation energy, eV/f.u.: -7.8

[13]
The following is a DFT calculation (GGA-PBE) of Sc2OsF after structural relaxation.

Structure (extended XYZ):
```
4
Lattice="1.658 0.957 7.878 -1.658 0.957 7.878 0.000 -1.915 7.878" Properties=species:S:1:pos:R:3 pbc="T T T"
Sc 0.000 0.000 2.066
Sc 0.000 0.000 21.569
Os 0.000 0.000 11.818
F 0.000 0.000 0.000
```

Calculated density, kg/m3: 6618
Excess energy over the best structure of this formula in the dataset, kJ/mol of atoms: 0.0
Volume, Å³/cell: 75
Raw formation energy, eV/f.u.: -4.8

[14]
The following is a DFT calculation (GGA-PBE) of La2CeInO after structural relaxation.

Structure (extended XYZ):
```
5
Lattice="5.090 0.000 0.000 0.000 5.090 0.000 0.000 0.000 4.930" Properties=species:S:1:pos:R:3 pbc="T T T"
La 0.000 2.545 0.000
La 2.545 0.000 0.000
Ce 0.000 0.000 2.465
In 2.545 2.545 2.465
O 0.000 0.000 0.000
```

Calculated density, kg/m3: 7133
Volume, Å³/cell: 128
Raw formation energy, eV/f.u.: -6.9

[15]
The following is a DFT calculation (GGA-PBE) of Ir3RuPt after structural relaxation.

Structure (extended XYZ):
```
5
Lattice="4.716 0.000 0.000 0.000 4.716 0.000 0.000 0.000 4.716" Properties=species:S:1:pos:R:3 pbc="T T T"
Ir 0.000 0.000 2.358
Ir 0.000 2.358 0.000
Ir 2.358 0.000 0.000
Ru 2.358 2.358 2.358
Pt 0.000 0.000 0.000
```

Calculated density, kg/m3: 13814
Formation enthalpy at 0 K, meV per atom: 2472
Excess energy over the best structure of this formula in the dataset, kJ/mol of atoms: 209.9
Volume, Å³/cell: 105

[16]
The following is a DFT calculation (GGA-PBE) of Ga2GeSb after structural relaxation.

Structure (extended XYZ):
```
4
Lattice="1.945 1.123 8.396 -1.945 1.123 8.396 0.000 -2.246 8.396" Properties=species:S:1:pos:R:3 pbc="T T T"
Ga 0.000 0.000 2.543
Ga 0.000 0.000 22.646
Ge 0.000 0.000 0.000
Sb 0.000 0.000 12.595
```

Calculated density, kg/m3: 5039
Excess energy over the best structure of this formula in the dataset, kJ/mol of atoms: 36.2
Volume, Å³/cell: 110
Raw formation energy, eV/f.u.: 1.5

[17]
The following is a DFT calculation (GGA-PBE) of Ti7Au2O2 after structural relaxation.

Structure (extended XYZ):
```
11
Lattice="4.753 -3.287 0.000 4.753 3.287 0.000 -0.757 0.000 5.433" Properties=species:S:1:pos:R:3 pbc="T T T"
Ti 0.000 0.000 0.000
Ti 2.127 1.427 4.228
Ti 4.009 0.000 1.051
Ti 6.622 1.427 1.205
Ti 2.127 -1.427 4.228
Ti 4.740 0.000 4.381
Ti 6.622 -1.427 1.205
Au 4.374 1.989 2.716
Au 4.374 -1.989 2.716
O 2.077 0.000 0.206
O 6.672 0.000 5.227
```

Calculated density, kg/m3: 7444
Volume, Å³/cell: 170
Raw formation energy, eV/f.u.: -10.0

[18]
The following is a DFT calculation (GGA-PBE) of NaTl2Sb after structural relaxation.

Structure (extended XYZ):
```
4
Lattice="2.734 1.579 5.027 -2.734 1.579 5.027 0.000 -3.157 5.027" Properties=species:S:1:pos:R:3 pbc="T T T"
Na 0.000 0.000 0.000
Tl 0.000 0.000 8.371
Tl 0.000 0.000 11.710
Sb 0.000 0.000 3.216
```

Calculated density, kg/m3: 7061
Excess energy over the best structure of this formula in the dataset, kJ/mol of atoms: 4.1
Volume, Å³/cell: 130
Raw formation energy, eV/f.u.: -0.4

[19]
The following is a DFT calculation (GGA-PBE) of LaNb3Pt after structural relaxation.

Structure (extended XYZ):
```
5
Lattice="5.017 0.000 0.000 0.000 5.017 0.000 0.000 0.000 5.017" Properties=species:S:1:pos:R:3 pbc="T T T"
La 0.000 0.000 0.000
Nb 0.000 2.508 2.508
Nb 2.508 0.000 2.508
Nb 2.508 2.508 0.000
Pt 2.508 2.508 2.508
```

Calculated density, kg/m3: 8057
Formation enthalpy at 0 K, meV per atom: 682
Excess energy over the best structure of this formula in the dataset, kJ/mol of atoms: 0.0
Volume, Å³/cell: 126

[20]
The following is a DFT calculation (GGA-PBE) of LaDy3Ho2Se6 after structural relaxation.

Structure (extended XYZ):
```
12
Lattice="3.549 -6.180 0.000 3.549 6.180 0.000 -2.385 0.000 6.708" Properties=species:S:1:pos:R:3 pbc="T T T"
La 0.000 0.000 0.000
Dy 2.356 4.206 3.354
Dy 2.356 0.000 3.354
Dy 2.356 -4.206 3.354
Ho 3.549 2.061 0.000
Ho 3.549 -2.061 0.000
Se 1.223 2.139 1.723
Se 0.076 0.000 5.029
Se 1.223 -2.139 1.723
Se 3.490 2.139 4.985
Se 4.637 0.000 1.679
Se 3.490 -2.139 4.985
```

Calculated density, kg/m3: 8071
Volume, Å³/cell: 294
Raw formation energy, eV/f.u.: -21.3

[21]
The following is a DFT calculation (GGA-PBE) of ScAlCrTc after structural relaxation.

Structure (extended XYZ):
```
4
Lattice="0.000 3.118 3.118 3.118 0.000 3.118 3.118 3.118 0.000" Properties=species:S:1:pos:R:3 pbc="T T T"
Sc 0.000 0.000 0.000
Al 1.559 1.559 1.559
Cr 4.677 4.677 4.677
Tc 3.118 3.118 3.118
```

Calculated density, kg/m3: 6080
Formation enthalpy at 0 K, meV per atom: -138
Volume, Å³/cell: 61

[22]
The following is a DFT calculation (GGA-PBE) of Pu2Fe3Cu after structural relaxation.

Structure (extended XYZ):
```
6
Lattice="4.200 -2.636 0.000 4.200 2.636 0.000 -3.256 0.000 4.244" Properties=species:S:1:pos:R:3 pbc="T T T"
Pu -0.201 0.000 1.550
Pu 5.345 0.000 2.694
Fe 2.100 1.318 0.000
Fe 2.100 -1.318 0.000
Fe 2.572 0.000 2.122
Cu 4.200 0.000 0.000
```

Calculated density, kg/m3: 12711
Formation enthalpy at 0 K, meV per atom: -41
Volume, Å³/cell: 94

[23]
The following is a DFT calculation (GGA-PBE) of Er2HfZr after structural relaxation.

Structure (extended XYZ):
```
4
Lattice="1.653 0.954 10.917 -1.653 0.954 10.917 0.000 -1.909 10.917" Properties=species:S:1:pos:R:3 pbc="T T T"
Er 0.000 0.000 8.160
Er 0.000 0.000 24.589
Hf 0.000 0.000 16.375
Zr 0.000 0.000 0.000
```

Calculated density, kg/m3: 9712
Formation enthalpy at 0 K, meV per atom: 135
Excess energy over the best structure of this formula in the dataset, kJ/mol of atoms: 1.2
Volume, Å³/cell: 103

[24]
The following is a DFT calculation (GGA-PBE) of LaTb2Y after structural relaxation.

Structure (extended XYZ):
```
4
Lattice="1.817 1.049 11.655 -1.817 1.049 11.655 0.000 -2.098 11.655" Properties=species:S:1:pos:R:3 pbc="T T T"
La 0.000 0.000 0.000
Tb 0.000 0.000 14.638
Tb 0.000 0.000 20.345
Y 0.000 0.000 29.165
```

Calculated density, kg/m3: 6798
Formation enthalpy at 0 K, meV per atom: 7
Excess energy over the best structure of this formula in the dataset, kJ/mol of atoms: 0.0
Volume, Å³/cell: 133

[25]
The following is a DFT calculation (GGA-PBE) of Ta3IrCl after structural relaxation.

Structure (extended XYZ):
```
5
Lattice="4.924 0.000 0.000 0.000 4.924 0.000 0.000 0.000 4.924" Properties=species:S:1:pos:R:3 pbc="T T T"
Ta 0.000 0.000 2.462
Ta 0.000 2.462 0.000
Ta 2.462 0.000 0.000
Ir 0.000 0.000 0.000
Cl 2.462 2.462 2.462
```

Calculated density, kg/m3: 10719
Excess energy over the best structure of this formula in the dataset, kJ/mol of atoms: 31.2
Volume, Å³/cell: 119
Raw formation energy, eV/f.u.: 6.0

[26]
The following is a DFT calculation (GGA-PBE) of PuMgI4 after structural relaxation.

Structure (extended XYZ):
```
6
Lattice="7.536 0.000 0.000 0.000 4.270 0.000 -0.248 0.000 7.858" Properties=species:S:1:pos:R:3 pbc="T T T"
Pu 0.000 0.000 0.000
Mg -0.124 2.135 3.929
I 1.593 0.000 2.797
I 1.598 2.135 6.381
I 5.691 2.135 1.477
I 5.696 0.000 5.061
```

Calculated density, kg/m3: 5096
Volume, Å³/cell: 253
Raw formation energy, eV/f.u.: -6.0